No. 1
Below is a relaxed structure of RbSrIr2Au, with properties calculated at the GGA-PBE level.

## Properties
**E_form**: 1.74 eV per atom
**Excess energy over the best structure of this formula in the dataset**: 18.5 kJ per mole of atoms
**Space group**: No. 123

a = 4.972 Å, b = 4.972 Å, c = 5.695 Å
α = 90.00°, β = 90.00°, γ = 90.00°
Fractional positions:
1 Rb 0.000 0.000 0.000
2 Sr 0.500 0.500 0.500
3 Ir 0.000 0.500 0.000
4 Ir 0.500 0.000 0.000
5 Au 0.000 0.000 0.500

---

No. 2
Below is a relaxed structure of ReIr2Au, with properties calculated at the GGA-PBE level.

## Properties
**E_form**: 0.33 eV per atom
**Excess energy over the best structure of this formula in the dataset**: 31.7 kJ per mole of atoms
**Space group**: No. 119

a = 4.897 Å, b = 4.897 Å, c = 4.897 Å
α = 133.27°, β = 133.27°, γ = 68.24°
Fractional positions:
1 Re 0.000 0.000 0.000
2 Ir 0.500 0.500 0.000
3 Ir 0.750 0.250 0.500
4 Au 0.250 0.750 0.500

---

No. 3
Below is a relaxed structure of ReIr2Au, with properties calculated at the GGA-PBE level.

## Properties
**E_form**: 0.32 eV per atom
**Excess energy over the best structure of this formula in the dataset**: 30.6 kJ per mole of atoms
**Space group**: No. 65

a = 2.759 Å, b = 2.759 Å, c = 9.592 Å
α = 90.00°, β = 90.00°, γ = 119.47°
Fractional positions:
1 Re 0.000 0.000 0.000
2 Ir 0.500 0.500 0.233
3 Ir 0.500 0.500 0.767
4 Au 0.000 0.000 0.500